MnRh2Cl, relaxed, DFT GGA-PBE; offset from the most stable computed form = 0.000 eV per atom; ΔE_f (raw) = 0.0753 eV/atom; Fermi-level density of states = 3.642 states/eV per cell
1.0
2.979 0.000 0.000
0.000 2.937 0.000
-0.001 0.000 7.429
Mn Rh Cl
1 2 1
direct
0.000 0.000 0.000
0.000 0.000 0.554
0.500 0.500 0.783
0.998 0.500 0.263



Ac2Pd3Pb5, relaxed, DFT GGA-PBE; offset from the most stable computed form = 0.000 eV per atom; energy relative to the elements = -0.507 eV per atom; Fermi-level density of states = 11.898 states/eV per cell
1.0
2.390 -14.202 0.000
2.390 14.202 0.000
0.000 0.000 7.846
Ac Pd Pb
4 6 10
direct
0.025 0.975 0.500
0.327 0.673 0.457
0.673 0.327 0.957
0.975 0.025 0.000
0.108 0.892 0.753
0.274 0.726 0.949
0.454 0.546 0.714
0.546 0.454 0.214
0.726 0.274 0.449
0.892 0.108 0.253
0.096 0.904 0.125
0.205 0.795 0.657
0.210 0.790 0.248
0.375 0.625 0.982
0.449 0.551 0.331
0.551 0.449 0.831
0.625 0.375 0.482
0.790 0.210 0.748
0.795 0.205 0.157
0.904 0.096 0.625



Rb2HfI4F2, relaxed, DFT GGA-PBE; ΔE_f (raw) = -1.9249 eV/atom; Fermi-level density of states = 0.000 states/eV per cell
1.0
6.442 -4.217 0.000
6.442 4.217 0.000
-1.879 0.000 6.279
Rb Hf I F
2 1 4 2
direct
0.187 0.187 0.342
0.813 0.813 0.658
0.500 0.500 0.000
0.158 0.653 0.193
0.347 0.842 0.807
0.653 0.158 0.193
0.842 0.347 0.807
0.370 0.370 0.751
0.630 0.630 0.249



LiUBO5, relaxed, DFT GGA-PBE; ΔE_f (raw) = -2.6618 eV/atom
1.0
3.700 -3.967 0.000
3.700 3.967 0.000
-3.570 0.000 6.866
Li U B O
2 2 2 10
direct
0.095 0.905 0.750
0.905 0.095 0.250
0.000 0.500 0.000
0.500 0.000 0.500
0.405 0.595 0.750
0.595 0.405 0.250
0.146 0.854 0.250
0.223 0.640 0.860
0.314 0.341 0.116
0.341 0.314 0.616
0.360 0.777 0.640
0.640 0.223 0.360
0.659 0.686 0.384
0.686 0.659 0.884
0.777 0.360 0.140
0.854 0.146 0.750



Mn2ReAs, relaxed, DFT GGA-PBE; energy relative to the elements = 0.103 eV per atom; Fermi-level density of states = 11.899 states/eV per cell
1.0
5.936 0.000 0.000
0.000 5.936 0.000
0.000 0.000 5.936
Mn Re As
8 4 4
direct
0.000 0.000 0.000
0.000 0.500 0.500
0.250 0.250 0.250
0.250 0.750 0.750
0.500 0.000 0.500
0.500 0.500 0.000
0.750 0.250 0.750
0.750 0.750 0.250
0.000 0.000 0.500
0.000 0.500 0.000
0.500 0.000 0.000
0.500 0.500 0.500
0.250 0.250 0.750
0.250 0.750 0.250
0.750 0.250 0.250
0.750 0.750 0.750



Ba12PdAu6, relaxed, DFT GGA-PBE; energy relative to the elements = -0.523 eV per atom; Fermi-level density of states = 12.910 states/eV per cell
1.0
7.337 4.236 4.578
-7.337 4.236 4.578
0.000 -8.472 4.578
Ba Pd Au
12 1 6
direct
0.044 0.917 0.682
0.083 0.318 0.956
0.179 0.579 0.419
0.318 0.956 0.083
0.419 0.179 0.579
0.421 0.581 0.821
0.579 0.419 0.179
0.581 0.821 0.421
0.682 0.044 0.917
0.821 0.421 0.581
0.917 0.682 0.044
0.956 0.083 0.318
0.000 0.000 0.000
0.134 0.312 0.620
0.312 0.620 0.134
0.380 0.866 0.688
0.620 0.134 0.312
0.688 0.380 0.866
0.866 0.688 0.380



ZrOs4Ru, relaxed, DFT GGA-PBE; energy relative to the elements = 0.200 eV per atom; Fermi-level density of states = 8.636 states/eV per cell
1.0
0.000 3.651 3.651
3.651 0.000 3.651
3.651 3.651 0.000
Zr Os Ru
1 4 1
direct
0.000 0.000 0.000
0.128 0.624 0.624
0.624 0.128 0.624
0.624 0.624 0.128
0.624 0.624 0.624
0.250 0.250 0.250



Y2SnOs, relaxed, DFT GGA-PBE; energy relative to the elements = -0.437 eV per atom; Fermi-level density of states = 0.792 states/eV per cell
1.0
3.405 0.000 0.000
0.000 3.405 0.000
0.000 0.000 8.175
Y Sn Os
2 1 1
direct
0.000 0.000 0.206
0.000 0.000 0.794
0.500 0.500 0.500
0.500 0.500 0.000